[1]
A relaxed Sc5TiOs6 crystal. Source: the Alexandria database, functional PBE.

Cell: 4.508 6.420 13.532 Å, 90.00 90.00 90.00°
Space group Immm (No. 71)
Unique sites:
Sc1 0.000 0.000 0.000 (multiplicity 2)
Sc2 0.000 0.000 0.331 (multiplicity 4)
Sc3 0.000 0.500 0.334 (multiplicity 4)
Ti1 0.000 0.500 0.000 (multiplicity 2)
Os1 0.000 0.239 0.500 (multiplicity 4)
Os2 0.000 0.256 0.162 (multiplicity 8)

Output
* crystal system: orthorhombic
* energy relative to the elements: -0.3830 eV/atom
* electronic total energy: -9.294 eV per atom



[2]
A relaxed ScTiOs2 crystal. Source: the Alexandria database, functional PBE.

Cell: 3.138 3.138 6.379 Å, 90.00 90.00 90.00°
Space group P4/mmm (No. 123)
Unique sites:
Sc1 0.000 0.000 0.000 (multiplicity 1)
Ti1 0.000 0.000 0.500 (multiplicity 1)
Os1 0.500 0.500 0.266 (multiplicity 2)

Output
* crystal system: tetragonal
* energy relative to the elements: -0.5410 eV/atom
* electronic total energy: -9.713 eV per atom



- Which of these has the highest energy relative to the elements?
  Sc5TiOs6